[1]
This record from Alexandria describes a relaxed NdMg2GeAu4 crystal. The functional is PBE.

```
NdMg2GeAu4
1.0
2.2815 1.3172 9.2099
-2.2815 1.3172 9.2099
0.0000 -2.6345 9.2099
Nd Mg Ge Au
1 2 1 4
Direct
0.0000 0.0000 0.0000 Nd
0.2401 0.2401 0.2401 Mg
0.7599 0.7599 0.7599 Mg
0.5000 0.5000 0.5000 Ge
0.1256 0.1256 0.1256 Au
0.3933 0.3933 0.3933 Au
0.6067 0.6067 0.6067 Au
0.8744 0.8744 0.8744 Au
```

## Properties
The space group is R-3m (166). The volume comes out at 20.76 Å³ per atom. The energy of formation from the pure elements comes out at -0.50 eV per atom. The calculation puts the density of states at the Fermi level at 0.421 states/eV per atom.

---

[2]
This record from Alexandria describes a relaxed Nd2MgGe4Au3 crystal. The functional is PBE.

```
Nd2MgGe4Au3
1.0
4.3086 0.0000 0.0000
0.0000 4.3086 0.0000
0.0000 0.0000 11.4173
Nd Mg Ge Au
2 1 4 3
Direct
0.0000 0.5000 0.2474 Nd
0.5000 0.0000 0.7526 Nd
0.5000 0.5000 0.0000 Mg
0.0000 0.0000 0.5000 Ge
0.0000 0.5000 0.8584 Ge
0.5000 0.0000 0.1416 Ge
0.5000 0.5000 0.5000 Ge
0.0000 0.0000 0.0000 Au
0.0000 0.5000 0.6383 Au
0.5000 0.0000 0.3617 Au
```

## Properties
The space group is P-4m2 (115). The volume comes out at 21.19 Å³ per atom. The energy of formation from the pure elements comes out at -0.56 eV per atom. The calculation puts the density of states at the Fermi level at 0.287 states/eV per atom.

---

[3]
This record from Alexandria describes a relaxed Nd2MgGe3Au4 crystal. The functional is PBE.

```
Nd2MgGe3Au4
1.0
4.3761 0.0000 0.0000
0.0000 4.3761 0.0000
0.0000 0.0000 11.0891
Nd Mg Ge Au
2 1 3 4
Direct
0.0000 0.5000 0.2298 Nd
0.5000 0.0000 0.7702 Nd
0.0000 0.0000 0.5000 Mg
0.0000 0.5000 0.8624 Ge
0.5000 0.0000 0.1376 Ge
0.5000 0.5000 0.5000 Ge
0.0000 0.0000 0.0000 Au
0.0000 0.5000 0.6367 Au
0.5000 0.0000 0.3633 Au
0.5000 0.5000 0.0000 Au
```

## Properties
The space group is P-4m2 (115). The volume comes out at 21.24 Å³ per atom. The energy of formation from the pure elements comes out at -0.61 eV per atom. The calculation puts the density of states at the Fermi level at 0.375 states/eV per atom.

---

[4]
This record from Alexandria describes a relaxed Mg2Ni5Ge2Au crystal. The functional is PBE.

```
Mg2Ni5Ge2Au
1.0
9.0183 0.0000 0.0000
0.0000 9.0183 0.0000
0.0000 0.0000 3.4918
Mg Ni Ge Au
4 10 4 2
Direct
0.1732 0.3268 0.0000 Mg
0.3268 0.8268 0.0000 Mg
0.6732 0.1732 0.0000 Mg
0.8268 0.6732 0.0000 Mg
0.0000 0.5000 0.5000 Ni
0.0673 0.7920 0.5000 Ni
0.2080 0.0673 0.5000 Ni
0.2920 0.5673 0.5000 Ni
0.4327 0.2920 0.5000 Ni
0.5000 0.0000 0.5000 Ni
0.5673 0.7080 0.5000 Ni
0.7080 0.4327 0.5000 Ni
0.7920 0.9327 0.5000 Ni
0.9327 0.2080 0.5000 Ni
0.1258 0.6258 0.0000 Ge
0.3742 0.1258 0.0000 Ge
0.6258 0.8742 0.0000 Ge
0.8742 0.3742 0.0000 Ge
0.0000 0.0000 0.0000 Au
0.5000 0.5000 0.0000 Au
```

## Properties
The space group is P4/mbm (127). The volume comes out at 14.20 Å³ per atom. The energy of formation from the pure elements comes out at -0.22 eV per atom. The calculation puts the density of states at the Fermi level at 0.680 states/eV per atom.